(1)
This record from Alexandria via LeMat-Bulk describes an optimized crystal structure of BaNa3Tc. The functional is PBE.

a = 5.7095 Å, b = 5.7095 Å, c = 5.7095 Å
α = 90.00°, β = 90.00°, γ = 90.00°
Sites, in units of the cell vectors:
1 Tc 0.5000 0.5000 0.5000
2 Ba 0.0000 0.0000 0.0000
3 Na 0.0000 0.5000 0.0000
4 Na 0.5000 0.0000 0.0000
5 Na 0.0000 0.0000 0.5000

Computed properties:
- symmetry = Pm-3m
- uncorrected energy (eV per atom) = -1.23
- DFT formation energy (eV/f.u.) = 10.08
- energy relative to the lowest polymorph listed for this composition (meV per atom) = 1096

***

(2)
This record from Alexandria via LeMat-Bulk describes an optimized crystal structure of AcNdOs. The functional is PBE.

a = 5.0584 Å, b = 5.0584 Å, c = 5.0584 Å
α = 60.00°, β = 60.00°, γ = 60.00°
Sites, in units of the cell vectors:
1 Os 0.2500 0.2500 0.2500
2 Ac 0.5000 0.5000 0.5000
3 Nd 0.0000 0.0000 0.0000

Computed properties:
- symmetry = F-43m
- uncorrected energy (eV per atom) = -6.72
- DFT formation energy (eV/f.u.) = -0.04
- energy relative to the lowest polymorph listed for this composition (meV per atom) = 0

***

(3)
This record from Alexandria via LeMat-Bulk describes an optimized crystal structure of Tl3Hg4Pb3. The functional is PBE.

a = 4.1498 Å, b = 8.5395 Å, c = 8.5395 Å
α = 89.74°, β = 90.00°, γ = 90.00°
Sites, in units of the cell vectors:
1 Pb 0.5000 0.1644 0.8356
2 Pb 0.0000 0.4937 0.9942
3 Pb 0.0000 0.0058 0.5063
4 Hg 0.0000 0.6351 0.3649
5 Hg 0.0000 0.8611 0.8676
6 Hg 0.0000 0.1324 0.1389
7 Hg 0.0000 0.3668 0.6332
8 Tl 0.5000 0.6695 0.6631
9 Tl 0.5000 0.3369 0.3305
10 Tl 0.5000 0.8343 0.1657

Computed properties:
- symmetry = Amm2
- uncorrected energy (eV per atom) = -1.91
- DFT formation energy (eV/f.u.) = 0.32

***

(4)
This record from Alexandria via LeMat-Bulk describes an optimized crystal structure of SrFe2Ru. The functional is PBE.

a = 3.3152 Å, b = 4.5865 Å, c = 4.5511 Å
α = 90.00°, β = 90.00°, γ = 90.00°
Sites, in units of the cell vectors:
1 Fe 0.5000 0.5000 0.0000
2 Fe 0.0000 0.0000 0.0000
3 Sr 0.0000 0.5000 0.5000
4 Ru 0.5000 0.0000 0.5000

Computed properties:
- symmetry = Pmmm
- uncorrected energy (eV per atom) = -6.07
- DFT formation energy (eV/f.u.) = 3.59

***

(5)
This record from Alexandria via LeMat-Bulk describes an optimized crystal structure of FeCo12Ni6. The functional is PBE.

a = 5.9848 Å, b = 5.9848 Å, c = 5.9848 Å
α = 90.20°, β = 90.20°, γ = 90.20°
Sites, in units of the cell vectors:
1 Ni 0.8843 0.7316 0.2657
2 Ni 0.2657 0.8843 0.7316
3 Ni 0.2684 0.7343 0.1157
4 Ni 0.7343 0.1157 0.2684
5 Ni 0.1157 0.2684 0.7343
6 Ni 0.7316 0.2657 0.8843
7 Co 0.2044 0.5573 0.4745
8 Co 0.7956 0.4427 0.5255
9 Co 0.8474 0.9554 0.6252
10 Co 0.9554 0.6252 0.8474
11 Co 0.3748 0.1526 0.0446
12 Co 0.4427 0.5255 0.7956
13 Co 0.0446 0.3748 0.1526
14 Co 0.4745 0.2044 0.5573
15 Co 0.6252 0.8474 0.9554
16 Co 0.5255 0.7956 0.4427
17 Co 0.1526 0.0446 0.3748
18 Co 0.5573 0.4745 0.2044
19 Fe 0.0000 0.0000 0.0000

Computed properties:
- symmetry = R-3
- uncorrected energy (eV per atom) = -6.65
- DFT formation energy (eV/f.u.) = 2.10

***

(6)
This record from Alexandria via LeMat-Bulk describes an optimized crystal structure of Ag4RhF8. The functional is PBE.

a = 7.0250 Å, b = 7.0250 Å, c = 7.0250 Å
α = 58.30°, β = 58.30°, γ = 58.30°
Sites, in units of the cell vectors:
1 F 0.2963 0.7026 0.2963
2 F 0.7037 0.2974 0.7037
3 F 0.2963 0.2963 0.7026
4 F 0.7037 0.7037 0.2974
5 F 0.2974 0.7037 0.7037
6 F 0.7244 0.7244 0.7244
7 F 0.7026 0.2963 0.2963
8 F 0.2756 0.2756 0.2756
9 Ag 0.0000 0.0000 0.0000
10 Ag 0.0000 0.5000 0.5000
11 Ag 0.5000 0.0000 0.5000
12 Ag 0.5000 0.5000 0.0000
13 Rh 0.5000 0.5000 0.5000

Computed properties:
- symmetry = R-3m
- uncorrected energy (eV per atom) = -3.72
- ΔE_f (raw) (meV/atom) = -1129

***

(7)
This record from Alexandria via LeMat-Bulk describes an optimized crystal structure of ZrZnRu2. The functional is PBE.

a = 9.4048 Å, b = 9.4048 Å, c = 9.4048 Å
α = 17.37°, β = 17.37°, γ = 17.37°
Sites, in units of the cell vectors:
1 Ru 0.2527 0.2527 0.2527
2 Ru 0.9911 0.9911 0.9911
3 Zr 0.7487 0.7487 0.7487
4 Zn 0.5075 0.5075 0.5075

Computed properties:
- symmetry = R3m
- uncorrected energy (eV per atom) = -6.97
- DFT formation energy (eV/f.u.) = 0.50

***

(8)
This record from Alexandria via LeMat-Bulk describes an optimized crystal structure of TaCdAs. The functional is PBE.

a = 4.6386 Å, b = 4.6386 Å, c = 3.0976 Å
α = 90.00°, β = 90.00°, γ = 120.00°
Sites, in units of the cell vectors:
1 Cd 0.6667 0.3333 0.3336
2 Ta 0.3333 0.6667 0.8338
3 As 0.0000 0.0000 0.8327

Computed properties:
- symmetry = P-6m2
- uncorrected energy (eV per atom) = -5.49
- DFT formation energy (eV/f.u.) = 0.95
- energy relative to the lowest polymorph listed for this composition (meV per atom) = 274